First-principles (PBE) data for a relaxed structure of Ce3Ga4Au2, as listed in Alexandria.

Summary:
Crystal system = monoclinic
Formation energy = -0.65 eV/atom

```
data_Ce3Ga4Au2
_cell_length_a 5.921
_cell_length_b 5.921
_cell_length_c 8.645
_cell_angle_alpha 110.69
_cell_angle_beta 110.69
_cell_angle_gamma 45.51
_space_group_name_H-M_alt 'P 1'
_space_group_IT_number 1
_space_group_name_Hall 'P 1'
loop_
_atom_site_label
_atom_site_type_symbol
_atom_site_fract_x
_atom_site_fract_y
_atom_site_fract_z
_atom_site_occupancy
Ce1 Ce 0.000 0.000 0.000 1
Ce2 Ce 0.324 0.324 0.343 1
Ce3 Ce 0.676 0.676 0.657 1
Ga1 Ga 0.024 0.024 0.364 1
Ga2 Ga 0.261 0.261 0.928 1
Ga3 Ga 0.739 0.739 0.072 1
Ga4 Ga 0.976 0.976 0.636 1
Au1 Au 0.400 0.400 0.730 1
Au2 Au 0.600 0.600 0.270 1
```

First-principles (PBE) data for a relaxed structure of PaCoPH, as listed in Alexandria.

Summary:
Calculated total energy = -7.195 eV per atom
Crystal system = tetragonal

```
data_PaCoPH
_cell_length_a 3.929
_cell_length_b 3.929
_cell_length_c 6.597
_cell_angle_alpha 90.00
_cell_angle_beta 90.00
_cell_angle_gamma 90.00
_space_group_name_H-M_alt 'P 1'
_space_group_IT_number 1
_space_group_name_Hall 'P 1'
loop_
_atom_site_label
_atom_site_type_symbol
_atom_site_fract_x
_atom_site_fract_y
_atom_site_fract_z
_atom_site_occupancy
Pa1 Pa 0.250 0.250 0.173 1
Pa2 Pa 0.750 0.750 0.827 1
Co1 Co 0.250 0.750 0.500 1
Co2 Co 0.750 0.250 0.500 1
P1 P 0.250 0.250 0.693 1
P2 P 0.750 0.750 0.307 1
H1 H 0.250 0.750 0.000 1
H2 H 0.750 0.250 0.000 1
```